No. 1
FeCuPb2 | GGA-PBE | optimized geometry

Magnetic moment = 2.35 μB per formula unit
Energy = -4.48 eV per atom
Relative energy among the computed polymorphs = 182.5 meV per atom

Unit cell a=3.5159 b=3.5159 c=6.5762 alpha=90.00 beta=90.00 gamma=93.77
With the nearest neighbours (Å) after each atom.
Fractional coordinates of all 4 atoms:
Pb (0.0000, 0.0000, 0.9965)  4 Fe 2.90-3.04, 4 Cu 2.92-3.06, 1 Pb 3.24
Pb (0.0000, 0.0000, 0.5035)  4 Fe 2.90-3.04, 4 Cu 2.92-3.06, 1 Pb 3.24
Fe (0.5000, 0.5000, 0.7500)  8 Pb 2.90-3.04
Cu (0.5000, 0.5000, 0.2500)  8 Pb 2.92-3.06


No. 2
SrCd2Se2 | GGA-PBE | optimized geometry

Energy relative to the elements, uncorrected = -0.78 eV/atom
Magnetic moment = 0.00 μB per formula unit
Energy = -2.88 eV per atom
Relative energy among the computed polymorphs = 0.0 meV per atom

Unit cell a=6.1589 b=6.1589 c=6.1589 alpha=129.40 beta=129.40 gamma=74.37
With the nearest neighbours (Å) after each atom.
Fractional coordinates of all 5 atoms:
Se (0.2500, 0.7500, 0.5000)  4 Cd 2.86
Se (0.7500, 0.2500, 0.5000)  4 Cd 2.86
Cd (0.3633, 0.3633, 0.0000)  1 Cd 2.68, 4 Se 2.86
Cd (0.6367, 0.6367, 0.0000)  1 Cd 2.68, 4 Se 2.86
Sr (0.0000, 0.0000, 0.0000)  10 Cd 3.57-3.96, 8 Se 3.60


No. 3
TaCdCo | GGA-PBE | optimized geometry

Magnetic moment = 1.07 μB per formula unit
Energy = -6.17 eV per atom
Relative energy among the computed polymorphs = 343.4 meV per atom

Unit cell a=4.2386 b=4.2386 c=4.2386 alpha=60.00 beta=60.00 gamma=60.00
With the nearest neighbours (Å) after each atom.
Fractional coordinates of all 3 atoms:
Co (0.7500, 0.7500, 0.7500)  4 Cd 2.60, 4 Ta 2.60
Cd (0.5000, 0.5000, 0.5000)  4 Co 2.60
Ta (0.0000, 0.0000, 0.0000)  4 Co 2.60


Question: Which formula does entry 2 have?
Answer: SrCd2Se2